[1]
First-principles (meta-GGA SCAN) data for a crystal of Mg2AsSe relaxed with PBEsol, as listed in Alexandria via LeMat-Bulk.

As for the total energy: -52.30 eV per cell.

It has space group Pmmm (No. 47), with a = 3.353 Å, b = 4.200 Å, c = 5.899 Å, α = 90.00°, β = 90.00° and γ = 90.00°. Symmetry generates all atoms from Mg at (0.000, 0.000, 0.000), Mg at (0.000, 0.500, 0.500), As at (0.500, 0.000, 0.500) and Se at (0.500, 0.500, 0.000).

***

[2]
First-principles (meta-GGA SCAN) data for a crystal of TaInBr relaxed with PBEsol, as listed in Alexandria via LeMat-Bulk.

As for the total energy: -237.29 eV per cell. The value obtained for the polymorph energy (0 for the lowest one) is 0.0 meV per atom.

It has space group I4mm (No. 107), with a = 3.104 Å, b = 3.104 Å, c = 13.044 Å, α = 90.00°, β = 90.00° and γ = 90.00°. Symmetry generates all atoms from Ta at (0.000, 0.000, 0.000), In at (0.000, 0.000, 0.344) and Br at (0.000, 0.000, 0.625).

***

[3]
First-principles (meta-GGA SCAN) data for a crystal of ZrBrCl2 relaxed with PBEsol, as listed in Alexandria via LeMat-Bulk.

As for the total energy: -137.04 eV per cell. The value obtained for the polymorph energy (0 for the lowest one) is 1140.9 meV per atom.

It has space group C2/m (No. 12), with a = 5.876 Å, b = 9.300 Å, c = 3.403 Å, α = 90.00°, β = 119.45° and γ = 90.00°. Symmetry generates all atoms from Zr at (0.000, 0.000, 0.000), Br at (0.000, 0.500, 0.000) and Cl at (0.250, 0.250, 0.500).

***

[4]
First-principles (meta-GGA SCAN) data for a crystal of LiMg2Br relaxed with PBEsol, as listed in Alexandria via LeMat-Bulk.

As for the total energy: -32.93 eV per cell. The value obtained for the polymorph energy (0 for the lowest one) is 0.0 meV per atom.

It has space group P4/mmm (No. 123), with a = 3.326 Å, b = 3.326 Å, c = 8.222 Å, α = 90.00°, β = 90.00° and γ = 90.00°. Symmetry generates all atoms from Li at (0.000, 0.000, 0.000), Mg at (0.500, 0.500, 0.247) and Br at (0.000, 0.000, 0.500).

***

Please write out number 1 again, unchanged.
First-principles (meta-GGA SCAN) data for a crystal of Mg2AsSe relaxed with PBEsol, as listed in Alexandria via LeMat-Bulk.

As for the total energy: -52.30 eV per cell.

It has space group Pmmm (No. 47), with a = 3.353 Å, b = 4.200 Å, c = 5.899 Å, α = 90.00°, β = 90.00° and γ = 90.00°. Symmetry generates all atoms from Mg at (0.000, 0.000, 0.000), Mg at (0.000, 0.500, 0.500), As at (0.500, 0.000, 0.500) and Se at (0.500, 0.500, 0.000).

***

Repeat the first record exactly.
First-principles (meta-GGA SCAN) data for a crystal of Mg2AsSe relaxed with PBEsol, as listed in Alexandria via LeMat-Bulk.

As for the total energy: -52.30 eV per cell.

It has space group Pmmm (No. 47), with a = 3.353 Å, b = 4.200 Å, c = 5.899 Å, α = 90.00°, β = 90.00° and γ = 90.00°. Symmetry generates all atoms from Mg at (0.000, 0.000, 0.000), Mg at (0.000, 0.500, 0.500), As at (0.500, 0.000, 0.500) and Se at (0.500, 0.500, 0.000).